No. 1
## ZrSc2Tl2 (GGA-PBE)

Data for a relaxed ZrSc2Tl2 crystal.

Properties
Calculated formation energy, eV/atom: 0.1172

a = 4.9199 Å, b = 4.9199 Å, c = 11.9066 Å
α = 90.00°, β = 90.00°, γ = 120.00°
Space group P6_3/mmc (No. 194)
Inequivalent atoms, fractional coordinates:
Zr (0.0000, 0.0000, 0.2500) [2 per cell]
Sc (0.0000, 0.0000, 0.0000) [2 per cell]
Sc (0.3333, 0.6667, 0.2500) [2 per cell]
Tl (0.3333, 0.6667, 0.6201) [4 per cell]

=====

No. 2
## InMo2Br2 (GGA-PBE)

Data for a relaxed InMo2Br2 crystal.

Properties
Uncorrected formation energy, eV per atom: 0.575

a = 4.735 Å, b = 4.735 Å, c = 10.966 Å
α = 90.00°, β = 90.00°, γ = 90.00°
Space group I4/mmm (No. 139)
Inequivalent atoms, fractional coordinates:
In (0.000, 0.000, 0.000) [2 per cell]
Mo (0.000, 0.000, 0.406) [4 per cell]
Br (0.000, 0.500, 0.250) [4 per cell]

=====

No. 3
## LaCeDy2 (GGA-PBE)

Data for a relaxed LaCeDy2 crystal.

Properties
Calculated formation energy, eV/atom: 0.1651

a = 8.099 Å, b = 8.099 Å, c = 8.099 Å
α = 90.00°, β = 90.00°, γ = 90.00°
Space group Fm-3m (No. 225)
Inequivalent atoms, fractional coordinates:
La (0.000, 0.000, 0.000) [4 per cell]
Ce (0.000, 0.000, 0.500) [4 per cell]
Dy (0.250, 0.250, 0.250) [8 per cell]

=====

No. 4
## Cs3Ru2Br9 (GGA-PBE)

Data for a relaxed Cs3Ru2Br9 crystal.

Properties
Uncorrected formation energy, eV per atom: -0.959

a = 7.7375 Å, b = 7.7375 Å, c = 19.3858 Å
α = 90.00°, β = 90.00°, γ = 120.00°
Space group P6_3/mmc (No. 194)
Inequivalent atoms, fractional coordinates:
Cs (0.0000, 0.0000, 0.2500) [2 per cell]
Cs (0.3333, 0.6667, 0.0669) [4 per cell]
Ru (0.3333, 0.6667, 0.6699) [4 per cell]
Br (0.0297, 0.5148, 0.7500) [6 per cell]
Br (0.1794, 0.3588, 0.5962) [12 per cell]

=====

No. 5
## Hg2PbC (GGA-PBE)

Data for a relaxed Hg2PbC crystal.

Properties
Calculated formation energy, eV/atom: 1.4883

a = 7.092 Å, b = 7.092 Å, c = 7.092 Å
α = 90.00°, β = 90.00°, γ = 90.00°
Space group Fm-3m (No. 225)
Inequivalent atoms, fractional coordinates:
Hg (0.250, 0.250, 0.250) [8 per cell]
Pb (0.000, 0.000, 0.000) [4 per cell]
C (0.000, 0.000, 0.500) [4 per cell]

=====

No. 6
## PrThGaRu (GGA-PBE)

Data for a relaxed PrThGaRu crystal.

Properties
Calculated formation energy, eV/atom: -0.2708

a = 7.258 Å, b = 7.258 Å, c = 7.258 Å
α = 90.00°, β = 90.00°, γ = 90.00°
Space group F-43m (No. 216)
Inequivalent atoms, fractional coordinates:
Pr (0.000, 0.000, 0.000) [4 per cell]
Th (0.000, 0.000, 0.500) [4 per cell]
Ga (0.250, 0.250, 0.750) [4 per cell]
Ru (0.250, 0.250, 0.250) [4 per cell]

=====

No. 7
## Ba4Te2N (GGA-PBE)

Data for a relaxed Ba4Te2N crystal.

Properties
Uncorrected formation energy, eV per atom: -1.102

a = 5.520 Å, b = 5.520 Å, c = 17.565 Å
α = 90.00°, β = 90.00°, γ = 90.00°
Space group I4/mmm (No. 139)
Inequivalent atoms, fractional coordinates:
Ba (0.000, 0.000, 0.159) [4 per cell]
Ba (0.000, 0.500, 0.000) [4 per cell]
Te (0.000, 0.000, 0.362) [4 per cell]
N (0.000, 0.000, 0.000) [2 per cell]

=====

No. 8
## CsRbZn2I6 (GGA-PBE)

Data for a relaxed CsRbZn2I6 crystal.

Properties
Uncorrected formation energy, eV per atom: -0.939

a = 12.133 Å, b = 16.888 Å, c = 11.835 Å
α = 90.00°, β = 110.62°, γ = 90.00°
Space group C2/c (No. 15)
Inequivalent atoms, fractional coordinates:
Cs (0.000, 0.192, 0.250) [4 per cell]
Rb (0.000, 0.398, 0.750) [4 per cell]
Zn (0.249, 0.095, 0.725) [8 per cell]
I (0.059, 0.393, 0.093) [8 per cell]
I (0.147, 0.223, 0.629) [8 per cell]
I (0.184, 0.039, 0.130) [8 per cell]

=====

No. 9
## NbNiBi2 (GGA-PBE)

Data for a relaxed NbNiBi2 crystal.

Properties
Calculated formation energy, eV/atom: 0.5946

a = 3.3122 Å, b = 3.3122 Å, c = 28.8699 Å
α = 90.00°, β = 90.00°, γ = 120.00°
Space group R-3m (No. 166, hexagonal axes)
Inequivalent atoms, fractional coordinates:
Nb (0.0000, 0.0000, 0.0000) [3 per cell]
Ni (0.0000, 0.0000, 0.5000) [3 per cell]
Bi (0.0000, 0.0000, 0.1005) [6 per cell]

=====

No. 10
## La2PrGa2 (GGA-PBE)

Data for a relaxed La2PrGa2 crystal.

Properties
Calculated formation energy, eV/atom: -0.4640

a = 4.986 Å, b = 6.999 Å, c = 8.172 Å
α = 90.00°, β = 90.00°, γ = 90.00°
Space group Immm (No. 71)
Inequivalent atoms, fractional coordinates:
La (0.000, 0.000, 0.194) [4 per cell]
Pr (0.000, 0.500, 0.000) [2 per cell]
Ga (0.000, 0.304, 0.500) [4 per cell]

=====

No. 11
## Pm4ZnAu2 (GGA-PBE)

Data for a relaxed Pm4ZnAu2 crystal.

Properties
Calculated formation energy, eV/atom: -0.4699

a = 5.1720 Å, b = 5.1720 Å, c = 25.0985 Å
α = 90.00°, β = 90.00°, γ = 120.00°
Space group R-3m (No. 166, hexagonal axes)
Inequivalent atoms, fractional coordinates:
Pm (0.0000, 0.0000, 0.1232) [6 per cell]
Pm (0.0000, 0.0000, 0.3740) [6 per cell]
Zn (0.0000, 0.0000, 0.5000) [3 per cell]
Au (0.0000, 0.0000, 0.2500) [6 per cell]

=====

No. 12
## Ga8PtRh5 (GGA-PBE)

Data for a relaxed Ga8PtRh5 crystal.

Properties
Calculated formation energy, eV/atom: -0.4561

a = 7.476 Å, b = 7.476 Å, c = 7.643 Å
α = 90.00°, β = 90.00°, γ = 90.00°
Space group I-4 (No. 82)
Inequivalent atoms, fractional coordinates:
Ga (0.072, 0.335, 0.067) [8 per cell]
Ga (0.094, 0.170, 0.725) [8 per cell]
Pt (0.000, 0.500, 0.750) [2 per cell]
Rh (0.000, 0.000, 0.000) [2 per cell]
Rh (0.127, 0.225, 0.397) [8 per cell]